# 1
Compound: HgSb2TeBr
Source: the Alexandria database
Functional: PBE
Structure: optimized geometry

The structure in POSCAR format:
```
HgSb2TeBr
1.0
5.575 0.000 0.000
0.000 5.575 0.000
0.000 0.000 5.850
Hg Sb Te Br
1 2 1 1
Cartesian
0.000 0.000 0.000 Hg
0.000 2.788 2.925 Sb
2.788 0.000 2.925 Sb
2.788 2.788 0.000 Te
2.788 2.788 2.925 Br
```

Calculated values
Uncorrected formation energy = 0.85 eV per atom
Crystal system = tetragonal
Offset from the most stable computed form = 0.171 eV per atom
Uncorrected energy = -1.826 eV per atom

# 2
Compound: TlHg3Sb2Br3
Source: the Alexandria database
Functional: PBE
Structure: optimized geometry

The structure in POSCAR format:
```
TlHg3Sb2Br3
1.0
6.753 0.000 0.000
0.000 13.472 0.000
0.000 0.000 13.494
Tl Hg Sb Br
4 12 8 12
Cartesian
0.183 3.191 3.373 Tl
0.183 3.545 10.120 Tl
6.570 9.927 3.373 Tl
6.570 10.280 10.120 Tl
0.000 0.000 0.000 Hg
0.000 0.000 6.747 Hg
0.000 6.736 0.000 Hg
0.000 6.736 6.747 Hg
3.102 10.104 0.000 Hg
3.102 10.104 6.747 Hg
3.190 6.912 10.120 Hg
3.190 13.296 3.373 Hg
3.563 0.176 10.120 Hg
3.563 6.560 3.373 Hg
3.652 3.368 0.000 Hg
3.652 3.368 6.747 Hg
2.510 7.533 7.521 Sb
2.510 7.533 12.720 Sb
2.510 12.675 0.774 Sb
2.510 12.675 5.973 Sb
4.243 0.797 7.521 Sb
4.243 0.797 12.720 Sb
4.243 5.939 0.774 Sb
4.243 5.939 5.973 Sb
0.657 0.263 10.120 Br
0.657 6.473 3.373 Br
0.711 3.368 0.000 Br
0.711 3.368 6.747 Br
3.372 2.732 3.373 Br
3.372 4.004 10.120 Br
3.381 9.467 3.373 Br
3.381 10.740 10.120 Br
6.042 10.104 0.000 Br
6.042 10.104 6.747 Br
6.097 6.999 10.120 Br
6.097 13.209 3.373 Br
```

Calculated values
Uncorrected formation energy = -0.39 eV per atom
Crystal system = orthorhombic
Uncorrected energy = -2.229 eV per atom

# 3
Compound: ScHgBr2
Source: the Alexandria database
Functional: PBE
Structure: optimized geometry

The structure in POSCAR format:
```
ScHgBr2
1.0
0.000 3.723 3.723
3.723 0.000 3.723
3.723 3.723 0.000
Sc Hg Br
1 1 2
Cartesian
0.000 0.000 0.000 Sc
5.585 5.585 5.585 Hg
1.862 1.862 1.862 Br
3.723 3.723 3.723 Br
```

Calculated values
Uncorrected formation energy = -0.34 eV per atom
Crystal system = cubic
Offset from the most stable computed form = 0.783 eV per atom
Uncorrected energy = -2.835 eV per atom

# 4
Compound: ScHgBr6
Source: the Alexandria database
Functional: PBE
Structure: optimized geometry

The structure in POSCAR format:
```
ScHgBr6
1.0
7.004 0.000 0.000
-0.542 7.048 0.000
-3.459 -2.762 5.556
Sc Hg Br
1 1 6
Cartesian
0.000 0.000 0.000 Sc
3.231 3.524 0.000 Hg
-1.869 3.300 4.538 Br
1.091 2.449 0.802 Br
0.392 -0.890 2.476 Br
2.611 5.177 3.080 Br
1.912 1.837 4.754 Br
4.872 0.986 1.018 Br
```

Calculated values
Uncorrected formation energy = -0.87 eV per atom
Crystal system = triclinic
Uncorrected energy = -2.956 eV per atom

# 5
Compound: ScHgBr2
Source: the Alexandria database
Functional: PBE
Structure: optimized geometry

The structure in POSCAR format:
```
ScHgBr2
1.0
1.912 1.104 8.979
-1.912 1.104 8.979
0.000 -2.207 8.979
Sc Hg Br
1 1 2
Cartesian
0.000 0.000 0.000 Sc
0.000 0.000 6.935 Hg
0.000 0.000 14.048 Br
0.000 0.000 19.575 Br
```

Calculated values
Uncorrected formation energy = -0.82 eV per atom
Crystal system = trigonal
Offset from the most stable computed form = 0.301 eV per atom
Uncorrected energy = -3.317 eV per atom

# 6
Compound: ScHgBr3
Source: the Alexandria database
Functional: PBE
Structure: optimized geometry

The structure in POSCAR format:
```
ScHgBr3
1.0
7.902 -6.658 0.000
7.902 6.658 0.000
-7.123 0.000 8.230
Sc Hg Br
4 4 12
Cartesian
2.559 6.462 6.172 Sc
6.121 2.916 2.057 Sc
2.559 -2.916 6.172 Sc
6.121 -6.462 2.057 Sc
3.236 1.887 2.798 Hg
-0.326 -1.887 6.913 Hg
9.006 1.887 1.317 Hg
5.444 -1.887 5.432 Hg
-0.284 1.561 3.437 Br
7.303 4.995 0.695 Br
4.938 4.995 3.419 Br
5.523 1.671 0.009 Br
-3.845 -1.561 7.552 Br
1.961 -1.671 4.124 Br
6.719 1.671 4.106 Br
12.525 1.561 0.678 Br
3.157 -1.671 8.221 Br
3.742 -4.995 4.810 Br
1.377 -4.995 7.534 Br
8.964 -1.561 4.793 Br
```

Calculated values
Uncorrected formation energy = -1.20 eV per atom
Crystal system = monoclinic
Offset from the most stable computed form = 0.148 eV per atom
Uncorrected energy = -3.533 eV per atom

# 7
Compound: Sc3HgBr
Source: the Alexandria database
Functional: PBE
Structure: optimized geometry

The structure in POSCAR format:
```
Sc3HgBr
1.0
4.948 0.000 0.000
0.000 4.948 0.000
0.000 0.000 4.948
Sc Hg Br
3 1 1
Cartesian
0.000 0.000 2.474 Sc
0.000 2.474 0.000 Sc
2.474 0.000 0.000 Sc
2.474 2.474 2.474 Hg
0.000 0.000 0.000 Br
```

Calculated values
Uncorrected formation energy = -0.15 eV per atom
Crystal system = cubic
Offset from the most stable computed form = 0.000 eV per atom
Uncorrected energy = -4.342 eV per atom

# 8
Compound: ScHgBr3
Source: the Alexandria database
Functional: PBE
Structure: optimized geometry

The structure in POSCAR format:
```
ScHgBr3
1.0
-3.228 3.228 8.175
3.228 -3.228 8.175
3.228 3.228 -8.175
Sc Hg Br
2 2 6
Cartesian
0.000 0.000 0.000 Sc
0.000 3.228 4.087 Sc
3.228 0.000 1.500 Hg
3.228 0.000 6.675 Hg
0.000 0.000 4.988 Br
0.000 1.677 1.881 Br
0.000 0.000 11.361 Br
0.000 4.779 1.881 Br
-1.551 3.228 6.294 Br
1.551 3.228 6.294 Br
```

Calculated values
Uncorrected formation energy = -0.89 eV per atom
Crystal system = tetragonal
Offset from the most stable computed form = 0.464 eV per atom
Uncorrected energy = -3.217 eV per atom

# 9
Compound: ScHgBr3
Source: the Alexandria database
Functional: PBE
Structure: optimized geometry

The structure in POSCAR format:
```
ScHgBr3
1.0
5.366 3.098 2.196
-5.366 3.098 2.196
0.000 -6.197 2.196
Sc Hg Br
1 1 3
Cartesian
0.000 0.000 0.000 Sc
0.000 0.000 2.917 Hg
-1.964 -1.134 5.629 Br
1.964 -1.134 5.629 Br
0.000 2.268 5.629 Br
```

Calculated values
Uncorrected formation energy = -1.12 eV per atom
Crystal system = trigonal
Offset from the most stable computed form = 0.226 eV per atom
Uncorrected energy = -3.455 eV per atom

# 10
Compound: ScHgBr3
Source: the Alexandria database
Functional: PBE
Structure: optimized geometry

The structure in POSCAR format:
```
ScHgBr3
1.0
-2.636 2.636 18.102
2.636 -2.636 18.102
2.636 2.636 -18.102
Sc Hg Br
2 2 6
Cartesian
0.000 0.000 4.260 Sc
0.000 0.000 31.945 Sc
0.000 0.000 18.102 Hg
0.000 2.636 9.051 Hg
2.636 0.000 3.106 Br
2.636 1.321 -5.133 Br
2.636 0.000 14.997 Br
0.000 1.315 12.969 Br
1.321 2.636 5.133 Br
1.315 0.000 23.235 Br
```

Calculated values
Uncorrected formation energy = -0.47 eV per atom
Crystal system = tetragonal
Offset from the most stable computed form = 0.876 eV per atom
Uncorrected energy = -2.805 eV per atom

# 11
Compound: Sc4HgBr
Source: the Alexandria database
Functional: PBE
Structure: optimized geometry

The structure in POSCAR format:
```
Sc4HgBr
1.0
0.000 4.216 4.216
4.216 0.000 4.216
4.216 4.216 0.000
Sc Hg Br
4 1 1
Cartesian
3.177 3.177 3.177 Sc
5.254 5.254 3.177 Sc
5.254 3.177 5.254 Sc
3.177 5.254 5.254 Sc
6.324 6.324 6.324 Hg
0.000 0.000 0.000 Br
```

Calculated values
Uncorrected formation energy = 0.22 eV per atom
Crystal system = cubic
Uncorrected energy = -4.327 eV per atom

# 12
Compound: ScHgBr2
Source: the Alexandria database
Functional: PBE
Structure: optimized geometry

The structure in POSCAR format:
```
ScHgBr2
1.0
5.861 -1.807 0.000
5.861 1.807 0.000
-3.136 0.000 6.559
Sc Hg Br
1 1 2
Cartesian
0.000 0.000 0.000 Sc
3.084 0.000 0.005 Hg
3.046 0.000 4.632 Br
6.182 0.000 1.927 Br
```

Calculated values
Uncorrected formation energy = -1.02 eV per atom
Crystal system = monoclinic
Offset from the most stable computed form = 0.100 eV per atom
Uncorrected energy = -3.518 eV per atom

# 13
Compound: ScHgBr2
Source: the Alexandria database
Functional: PBE
Structure: optimized geometry

The structure in POSCAR format:
```
ScHgBr2
1.0
3.400 0.000 0.000
0.000 3.400 0.000
0.000 0.000 10.066
Sc Hg Br
1 1 2
Cartesian
0.000 0.000 0.000 Sc
0.000 0.000 5.033 Hg
1.700 1.700 1.638 Br
1.700 1.700 8.427 Br
```

Calculated values
Uncorrected formation energy = -1.00 eV per atom
Crystal system = tetragonal
Offset from the most stable computed form = 0.122 eV per atom
Uncorrected energy = -3.496 eV per atom

# 14
Compound: ScHgBr3
Source: the Alexandria database
Functional: PBE
Structure: optimized geometry

The structure in POSCAR format:
```
ScHgBr3
1.0
3.752 0.000 0.000
0.000 3.836 10.237
0.000 -3.836 10.237
Sc Hg Br
1 1 3
Cartesian
0.000 0.000 0.000 Sc
1.876 0.000 5.968 Hg
0.000 0.000 2.412 Br
1.876 -2.058 9.577 Br
1.876 2.058 9.577 Br
```

Calculated values
Uncorrected formation energy = -1.27 eV per atom
Crystal system = orthorhombic
Offset from the most stable computed form = 0.082 eV per atom
Uncorrected energy = -3.599 eV per atom

# 15
Compound: ScHgBr3
Source: the Alexandria database
Functional: PBE
Structure: optimized geometry

The structure in POSCAR format:
```
ScHgBr3
1.0
4.663 0.000 0.000
-2.331 4.038 0.000
0.000 0.000 19.954
Sc Hg Br
2 2 6
Cartesian
0.000 0.000 0.000 Sc
0.000 0.000 9.977 Sc
0.000 2.692 4.989 Hg
2.331 1.346 14.966 Hg
0.000 0.000 4.989 Br
0.000 0.000 14.966 Br
0.000 2.692 1.228 Br
0.000 2.692 8.749 Br
2.331 1.346 11.205 Br
2.331 1.346 18.727 Br
```

Calculated values
Uncorrected formation energy = -0.71 eV per atom
Crystal system = hexagonal
Offset from the most stable computed form = 0.636 eV per atom
Uncorrected energy = -3.045 eV per atom

# 16
Compound: ScHgBr3
Source: the Alexandria database
Functional: PBE
Structure: optimized geometry

The structure in POSCAR format:
```
ScHgBr3
1.0
6.695 0.000 0.000
1.066 7.741 0.000
1.362 -0.112 7.772
Sc Hg Br
2 2 6
Cartesian
0.000 0.000 0.000 Sc
5.775 7.628 7.771 Sc
2.886 3.397 4.268 Hg
6.231 4.236 3.518 Hg
1.674 2.020 0.512 Br
2.740 6.289 1.494 Br
4.102 7.062 5.767 Br
5.021 0.567 2.004 Br
6.383 1.338 6.276 Br
7.449 5.607 7.262 Br
```

Calculated values
Uncorrected formation energy = -1.32 eV per atom
Crystal system = triclinic
Offset from the most stable computed form = 0.029 eV per atom
Uncorrected energy = -3.652 eV per atom

# 17
Compound: ScHgBr2
Source: the Alexandria database
Functional: PBE
Structure: optimized geometry

The structure in POSCAR format:
```
ScHgBr2
1.0
3.710 0.000 0.000
0.000 2.429 7.490
0.000 -2.429 7.490
Sc Hg Br
1 1 2
Cartesian
0.000 0.000 0.000 Sc
1.855 0.000 8.117 Hg
0.000 0.000 2.479 Br
1.855 0.000 13.021 Br
```

Calculated values
Uncorrected formation energy = -0.94 eV per atom
Crystal system = orthorhombic
Offset from the most stable computed form = 0.188 eV per atom
Uncorrected energy = -3.430 eV per atom

# 18
Compound: ScHg3Br
Source: the Alexandria database
Functional: PBE
Structure: optimized geometry

The structure in POSCAR format:
```
ScHg3Br
1.0
5.709 0.000 0.000
0.000 5.709 0.000
0.000 0.000 5.709
Sc Hg Br
1 3 1
Cartesian
0.000 0.000 0.000 Sc
0.000 0.000 2.855 Hg
0.000 2.855 0.000 Hg
2.855 0.000 0.000 Hg
2.855 2.855 2.855 Br
```

Calculated values
Uncorrected formation energy = 0.07 eV per atom
Crystal system = cubic
Offset from the most stable computed form = 0.000 eV per atom
Uncorrected energy = -1.712 eV per atom

# 19
Compound: ScHgBr2
Source: the Alexandria database
Functional: PBE
Structure: optimized geometry

The structure in POSCAR format:
```
ScHgBr2
1.0
3.384 -4.026 0.000
3.384 4.026 0.000
0.000 0.000 3.799
Sc Hg Br
1 1 2
Cartesian
0.000 0.000 0.000 Sc
3.384 0.000 0.000 Hg
1.692 2.013 1.900 Br
1.692 -2.013 1.900 Br
```

Calculated values
Uncorrected formation energy = -0.47 eV per atom
Crystal system = orthorhombic
Offset from the most stable computed form = 0.649 eV per atom
Uncorrected energy = -2.969 eV per atom

# 20
Compound: ScHgBr2
Source: the Alexandria database
Functional: PBE
Structure: optimized geometry

The structure in POSCAR format:
```
ScHgBr2
1.0
3.561 0.000 0.000
0.000 3.561 0.000
0.000 0.000 8.402
Sc Hg Br
1 1 2
Cartesian
0.000 0.000 0.000 Sc
1.780 1.780 6.563 Hg
0.000 0.000 4.878 Br
1.780 1.780 1.580 Br
```

Calculated values
Uncorrected formation energy = -0.72 eV per atom
Crystal system = tetragonal
Offset from the most stable computed form = 0.399 eV per atom
Uncorrected energy = -3.218 eV per atom

# 21
Compound: ScHg2Br2
Source: the Alexandria database
Functional: PBE
Structure: optimized geometry

The structure in POSCAR format:
```
ScHg2Br2
1.0
7.562 0.000 0.000
0.000 7.562 0.000
0.000 0.000 5.009
Sc Hg Br
2 4 4
Cartesian
0.000 0.000 0.000 Sc
3.781 3.781 0.000 Sc
1.016 2.765 0.000 Hg
2.765 6.546 0.000 Hg
4.797 1.016 0.000 Hg
6.546 4.797 0.000 Hg
1.372 5.153 2.505 Br
2.409 1.372 2.505 Br
5.153 6.190 2.505 Br
6.190 2.409 2.505 Br
```

Calculated values
Uncorrected formation energy = -0.21 eV per atom
Crystal system = tetragonal
Offset from the most stable computed form = 0.444 eV per atom
Uncorrected energy = -2.269 eV per atom

# 22
Compound: ScHg3Br
Source: the Alexandria database
Functional: PBE
Structure: optimized geometry

The structure in POSCAR format:
```
ScHg3Br
1.0
5.724 0.000 0.000
0.000 5.724 0.000
0.000 0.000 5.724
Sc Hg Br
1 3 1
Cartesian
0.000 0.000 0.000 Sc
0.000 2.862 2.862 Hg
2.862 0.000 2.862 Hg
2.862 2.862 0.000 Hg
2.862 2.862 2.862 Br
```

Calculated values
Uncorrected formation energy = 0.67 eV per atom
Crystal system = cubic
Offset from the most stable computed form = 0.597 eV per atom
Uncorrected energy = -1.116 eV per atom

# 23
Compound: ScHgBr3
Source: the Alexandria database
Functional: PBE
Structure: optimized geometry

The structure in POSCAR format:
```
ScHgBr3
1.0
5.360 0.000 0.000
0.000 5.360 0.000
0.000 0.000 5.360
Sc Hg Br
1 1 3
Cartesian
0.000 0.000 0.000 Sc
2.680 2.680 2.680 Hg
0.000 0.000 2.680 Br
0.000 2.680 0.000 Br
2.680 0.000 0.000 Br
```

Calculated values
Uncorrected formation energy = -1.17 eV per atom
Crystal system = cubic
Offset from the most stable computed form = 0.180 eV per atom
Uncorrected energy = -3.501 eV per atom

# 24
Compound: ScHgBr3
Source: the Alexandria database
Functional: PBE
Structure: optimized geometry

The structure in POSCAR format:
```
ScHgBr3
1.0
3.522 0.000 0.000
1.684 6.817 0.000
0.037 0.011 7.756
Sc Hg Br
1 1 3
Cartesian
0.000 0.000 0.000 Sc
3.563 2.195 3.879 Hg
1.798 2.037 7.754 Br
3.445 5.798 1.751 Br
3.482 5.804 6.006 Br
```

Calculated values
Uncorrected formation energy = -1.29 eV per atom
Crystal system = triclinic
Offset from the most stable computed form = 0.057 eV per atom
Uncorrected energy = -3.624 eV per atom

# 25
Compound: ScHgBr3
Source: the Alexandria database
Functional: PBE
Structure: optimized geometry

The structure in POSCAR format:
```
ScHgBr3
1.0
5.699 3.290 4.223
-5.699 3.290 4.223
0.000 -6.581 4.223
Sc Hg Br
2 2 6
Cartesian
0.000 0.000 3.168 Sc
0.000 0.000 9.503 Sc
0.000 0.000 0.000 Hg
0.000 0.000 6.335 Hg
-1.223 -2.118 3.168 Br
-1.223 2.118 3.168 Br
2.446 0.000 3.168 Br
-2.446 0.000 9.503 Br
1.223 -2.118 9.503 Br
1.223 2.118 9.503 Br
```

Calculated values
Uncorrected formation energy = -1.09 eV per atom
Crystal system = trigonal
Offset from the most stable computed form = 0.263 eV per atom
Uncorrected energy = -3.418 eV per atom